No. 1
# SmPuMnRu (PBE-GGA, relaxed)
data_SmPuMnRu
_chemical_formula_sum 'Sm4 Pu4 Mn4 Ru4'
_cell_length_a 6.901
_cell_length_b 6.901
_cell_length_c 6.901
_cell_angle_alpha 90.00
_cell_angle_beta 90.00
_cell_angle_gamma 90.00
_space_group_name_H-M_alt 'F -4 3 m'
_space_group_IT_number 216
_space_group_name_Hall 'F -4 2 3'
loop_
_atom_site_label
_atom_site_fract_x
_atom_site_fract_y
_atom_site_fract_z
Sm1 0.000 0.000 0.000
Pu1 0.000 0.000 0.500
Mn1 0.250 0.250 0.750
Ru1 0.250 0.250 0.250
# **Formation energy**: 0.00 eV/f.u.
# **E**: -9.3734 eV per atom
# **N(E_F)**: 1.46 states/eV per atom

No. 2
# PuTl2GeTe4 (PBE-GGA, relaxed)
data_PuTl2GeTe4
_chemical_formula_sum 'Pu1 Tl2 Ge1 Te4'
_cell_length_a 7.784
_cell_length_b 4.446
_cell_length_c 8.265
_cell_angle_alpha 90.00
_cell_angle_beta 107.60
_cell_angle_gamma 90.00
_space_group_name_H-M_alt 'P 1 2/m 1'
_space_group_IT_number 10
loop_
_space_group_symop_operation_xyz
'x,y,z'
'-x,-y,-z'
'-x,y,-z'
'x,-y,z'
loop_
_atom_site_label
_atom_site_fract_x
_atom_site_fract_y
_atom_site_fract_z
Pu1 0.000 0.000 0.000
Tl1 0.000 0.500 0.500
Tl2 0.500 0.000 0.500
Ge1 0.500 0.500 0.000
Te1 0.240 0.500 0.209
Te2 0.267 0.000 0.795
# **Formation energy from raw total energies**: -448 meV/atom
# **E**: -4.9791 eV per atom
# **N(E_F)**: 1.72 states/eV per atom

No. 3
# TbY6Tm2 (PBE-GGA, relaxed)
data_TbY6Tm2
_chemical_formula_sum 'Tb4 Y24 Tm8'
_cell_length_a 12.784
_cell_length_b 14.216
_cell_length_c 6.529
_cell_angle_alpha 90.00
_cell_angle_beta 103.43
_cell_angle_gamma 90.00
_space_group_name_H-M_alt 'C 1 2/c 1'
_space_group_IT_number 15
loop_
_space_group_symop_operation_xyz
'x,y,z'
'-x,-y,-z'
'-x,y,-z+1/2'
'x,-y,z+1/2'
'x+1/2,y+1/2,z'
'-x+1/2,-y+1/2,-z'
'-x+1/2,y+1/2,-z+1/2'
'x+1/2,-y+1/2,z+1/2'
loop_
_atom_site_label
_atom_site_fract_x
_atom_site_fract_y
_atom_site_fract_z
Tb1 0.000 0.120 0.250
Y1 0.037 0.315 0.004
Y2 0.137 0.086 0.813
Y3 0.239 0.302 0.725
Tm1 0.138 0.478 0.367
# **Formation energy**: 0.91 eV/f.u.
# **E**: -5.7165 eV per atom
# **N(E_F)**: 1.32 states/eV per atom
# **Offset from the most stable computed form**: 28 kJ/mol of formula units